(1)
A plane-wave DFT calculation with PBE was carried out for a relaxed Sr2CaO2F2 crystal.

The uncorrected energy is -5.828 eV per atom. The formation energy without anion corrections comes out at -3.110 eV/atom.

Cell lengths 7.066, 7.066, 7.066 Å; angles 143.53, 143.53, 52.53 degrees
Positions (direct):
1 Sr 0.122 0.122 0.000
2 Sr 0.878 0.878 0.000
3 Ca 0.500 0.500 0.000
4 O 0.000 0.500 0.500
5 O 0.500 0.000 0.500
6 F 0.310 0.310 0.000
7 F 0.690 0.690 0.000

***

(2)
A plane-wave DFT calculation with PBE was carried out for a relaxed SrCaOF2 crystal.

The energy above the most stable polymorph in this dataset comes out at 2.25 eV per formula unit. The uncorrected energy is -5.197 eV per atom. The formation energy without anion corrections comes out at -2.720 eV/atom.

Cell lengths 4.512, 4.512, 4.883 Å; angles 90.00, 90.00, 90.00 degrees
Positions (direct):
1 Sr 0.000 0.000 0.000
2 Ca 0.500 0.500 0.500
3 O 0.000 0.000 0.500
4 F 0.000 0.500 0.000
5 F 0.500 0.000 0.000

***

(3)
A plane-wave DFT calculation with PBE was carried out for a relaxed SrCaO2F crystal.

The uncorrected energy is -5.160 eV per atom. The formation energy without anion corrections comes out at -2.066 eV/atom.

Cell lengths 4.577, 4.577, 4.505 Å; angles 90.00, 90.00, 90.00 degrees
Positions (direct):
1 Sr 0.000 0.000 0.000
2 Ca 0.500 0.500 0.500
3 O 0.000 0.500 0.000
4 O 0.500 0.000 0.000
5 F 0.000 0.000 0.500

***

> What is the uncorrected energy in the first record?

-5.828 eV per atom

***

> Look up the formation energy without anion corrections of the first one.

-3.110 eV/atom